4
Lattice="4.520 0.000 0.000 2.260 3.914 0.000 2.260 1.305 3.691" Properties=species:S:1:pos:R:3 comment="Hf2NiIr GGA-PBEsol optimized geometry" crystal_system=cubic total_energy_ev_per_cell=-39.81 ef_ev_per_fu=-2.82 m_tot_mub_per_fu=0.00 sg=Fm-3m pbc="T T T"
Ni 0.000 0.000 0.000
Ir 4.520 2.610 1.845
Hf 2.260 1.305 0.923
Hf 6.780 3.914 2.768